! Al2Fe5 PBE relaxed; values from VASP
! SG: P4/mbm
&SYSTEM
  ibrav = 0, nat = 14, ntyp = 2
/
ATOMIC_SPECIES
Al 26.98 Al.upf
Fe 55.84 Fe.upf
ATOMIC_POSITIONS angstrom
Al 1.5398 2.6740 0.0000
Al 2.6740 6.8878 0.0000
Al 5.7536 1.5398 0.0000
Al 6.8878 5.7536 0.0000
Fe 0.0000 4.2138 1.2883
Fe 0.4937 6.6839 1.2883
Fe 1.7437 0.4937 1.2883
Fe 2.4701 4.7075 1.2883
Fe 3.7201 2.4701 1.2883
Fe 4.2138 0.0000 1.2883
Fe 4.7075 5.9575 1.2883
Fe 5.9575 3.7201 1.2883
Fe 6.6839 7.9339 1.2883
Fe 7.9339 1.7437 1.2883
CELL_PARAMETERS angstrom
8.4276 0.0000 0.0000
0.0000 8.4276 0.0000
0.0000 0.0000 2.5765

***

! AlFe5 PBE relaxed; values from VASP
! SG: C2/m
&SYSTEM
  ibrav = 0, nat = 6, ntyp = 2
/
ATOMIC_SPECIES
Al 26.98 Al.upf
Fe 55.84 Fe.upf
ATOMIC_POSITIONS angstrom
Al 0.0000 0.0000 0.0000
Fe -0.9413 0.0000 2.7478
Fe 2.5922 0.0000 0.9395
Fe 1.7348 0.0000 3.6152
Fe 5.3343 0.0000 1.8805
Fe 4.4769 0.0000 4.5561
CELL_PARAMETERS angstrom
4.4758 -1.4325 0.0000
4.4758 1.4325 0.0000
-1.8826 0.0000 5.4956

***

! AlFe5 PBE relaxed; values from VASP
! SG: Cmmm
&SYSTEM
  ibrav = 0, nat = 6, ntyp = 2
/
ATOMIC_SPECIES
Al 26.98 Al.upf
Fe 55.84 Fe.upf
ATOMIC_POSITIONS angstrom
Al 0.0000 0.0000 0.0000
Fe 1.4532 4.0294 2.0142
Fe 1.4532 2.0583 0.0000
Fe 1.4532 0.0000 2.0142
Fe 1.4532 -2.0583 0.0000
Fe 1.4532 -4.0294 2.0142
CELL_PARAMETERS angstrom
1.4532 -6.0031 0.0000
1.4532 6.0031 0.0000
0.0000 0.0000 4.0284

***

! AlFe PBE relaxed; values from VASP
! SG: R-3m
&SYSTEM
  ibrav = 0, nat = 4, ntyp = 2
/
ATOMIC_SPECIES
Al 26.98 Al.upf
Fe 55.84 Fe.upf
ATOMIC_POSITIONS angstrom
Al 0.0000 0.0000 2.9061
Al 0.0000 0.0000 21.5329
Fe 0.0000 0.0000 9.0700
Fe 0.0000 0.0000 15.3690
CELL_PARAMETERS angstrom
1.3651 0.7881 8.1463
-1.3651 0.7881 8.1463
0.0000 -1.5763 8.1463

***

! Al2Fe PBE relaxed; values from VASP
! SG: Pnnm
&SYSTEM
  ibrav = 0, nat = 6, ntyp = 2
/
ATOMIC_SPECIES
Al 26.98 Al.upf
Fe 55.84 Fe.upf
ATOMIC_POSITIONS angstrom
Al 1.3090 1.5403 0.0000
Al 1.5378 4.8784 1.3177
Al 4.1557 1.7978 1.3177
Al 4.3845 5.1359 0.0000
Fe 0.0000 0.0000 1.3177
Fe 2.8468 3.3381 0.0000
CELL_PARAMETERS angstrom
5.6935 0.0000 0.0000
0.0000 6.6762 0.0000
0.0000 0.0000 2.6354

***

! Al5Fe PBE relaxed; values from VASP
! SG: P6/mmm
&SYSTEM
  ibrav = 0, nat = 6, ntyp = 2
/
ATOMIC_SPECIES
Al 26.98 Al.upf
Fe 55.84 Fe.upf
ATOMIC_POSITIONS angstrom
Al -1.2673 2.1951 0.0000
Al 0.0000 2.9268 2.3455
Al 2.5347 0.0000 0.0000
Al 1.2673 2.1951 0.0000
Al 2.5347 1.4634 2.3455
Fe 0.0000 0.0000 2.3455
CELL_PARAMETERS angstrom
5.0693 0.0000 0.0000
-2.5347 4.3902 0.0000
0.0000 0.0000 4.6909

***

Which electronic total energy belongs to each record? In order, -7.04, -7.80, -7.79, -6.12, -5.25, -4.12 eV per atom.